# 1
A plane-wave DFT calculation with GGA-PBE was carried out for a relaxed Cd2InRe crystal.

a = 2.8475 Å, b = 5.3661 Å, c = 5.1303 Å
α = 90.00°, β = 90.87°, γ = 90.00°
Fractional positions:
Cd  0.2491  0.0000  0.2425
Cd  0.7509  0.0000  0.7575
In  0.0000  0.5000  0.5000
Re  0.5000  0.5000  0.0000



# 2
A plane-wave DFT calculation with GGA-PBE was carried out for a relaxed Cd2InRe crystal.

a = 2.9496 Å, b = 2.9496 Å, c = 9.3050 Å
α = 90.00°, β = 90.00°, γ = 90.00°
Fractional positions:
Cd  0.0000  0.0000  0.0000
Cd  0.5000  0.5000  0.2673
In  0.0000  0.0000  0.5532
Re  0.5000  0.5000  0.7764



# 3
A plane-wave DFT calculation with GGA-PBE was carried out for a relaxed CdInRe2 crystal.

a = 2.8373 Å, b = 2.8373 Å, c = 10.5925 Å
α = 90.00°, β = 90.00°, γ = 117.80°
Fractional positions:
Cd  0.0000  0.0000  0.0000
In  0.5000  0.5000  0.6974
Re  0.0000  0.0000  0.4488
Re  0.5000  0.5000  0.2494

Output
Excess energy over the best structure of this formula in the dataset (eV/f.u.): 1.079



# 4
A plane-wave DFT calculation with GGA-PBE was carried out for a relaxed CdInRe2 crystal.

a = 4.7780 Å, b = 4.7780 Å, c = 4.7780 Å
α = 125.82°, β = 125.82°, γ = 80.19°
Fractional positions:
Cd  0.0000  0.0000  0.0000
In  0.2500  0.7500  0.5000
Re  0.5000  0.5000  0.0000
Re  0.7500  0.2500  0.5000

Output
Excess energy over the best structure of this formula in the dataset (eV/f.u.): 1.831



# 5
A plane-wave DFT calculation with GGA-PBE was carried out for a relaxed Cd2InRe crystal.

a = 5.3983 Å, b = 5.3983 Å, c = 5.3983 Å
α = 135.33°, β = 135.33°, γ = 65.02°
Fractional positions:
Cd  0.0000  0.0000  0.0000
Cd  0.7500  0.2500  0.5000
In  0.2500  0.7500  0.5000
Re  0.5000  0.5000  0.0000



# 6
A plane-wave DFT calculation with GGA-PBE was carried out for a relaxed Cd2InRe crystal.

a = 4.7881 Å, b = 4.7881 Å, c = 4.7881 Å
α = 60.00°, β = 60.00°, γ = 60.00°
Fractional positions:
Cd  0.0000  0.0000  0.0000
Cd  0.2500  0.2500  0.2500
In  0.5000  0.5000  0.5000
Re  0.7500  0.7500  0.7500



# 7
A plane-wave DFT calculation with GGA-PBE was carried out for a relaxed CdInRe2 crystal.

a = 4.6078 Å, b = 4.6078 Å, c = 4.6078 Å
α = 60.00°, β = 60.00°, γ = 60.00°
Fractional positions:
Cd  0.0000  0.0000  0.0000
In  0.5000  0.5000  0.5000
Re  0.2500  0.2500  0.2500
Re  0.7500  0.7500  0.7500

Output
Excess energy over the best structure of this formula in the dataset (eV/f.u.): 3.143



# 8
A plane-wave DFT calculation with GGA-PBE was carried out for a relaxed Cd2InRe crystal.

a = 2.8967 Å, b = 2.8967 Å, c = 11.3977 Å
α = 90.00°, β = 90.00°, γ = 119.22°
Fractional positions:
Cd  0.0000  0.0000  0.0000
Cd  0.5000  0.5000  0.2653
In  0.0000  0.0000  0.5588
Re  0.5000  0.5000  0.7802



For the records above, the corresponding M_tot values read 0.000 0.705 0.000 0.000 0.001 0.000 0.000 0.000 μB per cell.
For the records above, the corresponding formation enthalpy at 0 K values read 0.52 0.54 0.50 0.69 0.56 0.70 1.02 0.49 eV per atom.